# Y4Tl2GaHg PBE-GGA relaxed
data_Y4Tl2GaHg
_chemical_formula_sum 'Y12 Tl6 Ga3 Hg3'
_symmetry_space_group_name_H-M 'R -3 m'
_symmetry_Int_Tables_number 166
_symmetry_space_group_name_Hall '-R 3 2"'
_cell_length_a 5.2859
_cell_length_b 5.2859
_cell_length_c 25.7567
_cell_angle_alpha 90.00
_cell_angle_beta 90.00
_cell_angle_gamma 120.00
loop_
_atom_site_label
_atom_site_fract_x
_atom_site_fract_y
_atom_site_fract_z
Y1 0.0000 0.0000 0.1217
Y2 0.0000 0.0000 0.3724
Tl1 0.0000 0.0000 0.2466
Ga1 0.0000 0.0000 0.0000
Hg1 0.0000 0.0000 0.5000
# * formation enthalpy at 0 K: -3.61 eV/f.u.
# * V: 623.2 Å³ per cell